Below is a relaxed Gd2MgBe crystal, with properties calculated at the PBE-GGA level.

```
Gd2MgBe
1.0
3.486 0.000 0.000
0.000 3.486 0.000
0.000 0.000 7.940
Gd Mg Be
2 1 1
Cartesian
0.000 0.000 1.652
0.000 0.000 6.288
1.743 1.743 3.970
1.743 1.743 0.000
```

Properties
Size of the total moment: 14.66 μB/f.u.
Calculated density: 5.986 g/cm³
N(E_F): 2.8 states/eV/cell
Calculated total energy: -33.48 eV for the cell shown
Excess energy over the best structure of this formula in the dataset: 0.0 meV/atom

Below is a relaxed GdMgScBe crystal, with properties calculated at the PBE-GGA level.

```
GdMgScBe
1.0
0.000 3.511 3.511
3.511 0.000 3.511
3.511 3.511 0.000
Gd Mg Sc Be
1 1 1 1
Cartesian
0.000 0.000 0.000
5.266 5.266 5.266
3.511 3.511 3.511
1.755 1.755 1.755
```

Properties
Size of the total moment: 7.59 μB/f.u.
Calculated density: 4.519 g/cm³
N(E_F): 3.3 states/eV/cell
Calculated total energy: -25.38 eV for the cell shown

Below is a relaxed SmGdMgBe crystal, with properties calculated at the PBE-GGA level.

```
SmGdMgBe
1.0
0.000 3.650 3.650
3.650 0.000 3.650
3.650 3.650 0.000
Sm Gd Mg Be
1 1 1 1
Cartesian
0.000 0.000 0.000
3.650 3.650 3.650
5.476 5.476 5.476
1.825 1.825 1.825
```

Properties
Size of the total moment: 7.69 μB/f.u.
Calculated density: 5.819 g/cm³
N(E_F): 3.7 states/eV/cell
Calculated total energy: -23.73 eV for the cell shown

Below is a relaxed TbGdMgBe crystal, with properties calculated at the PBE-GGA level.

```
TbGdMgBe
1.0
0.000 3.623 3.623
3.623 0.000 3.623
3.623 3.623 0.000
Tb Gd Mg Be
1 1 1 1
Cartesian
0.000 0.000 0.000
3.623 3.623 3.623
1.811 1.811 1.811
5.434 5.434 5.434
```

Properties
Size of the total moment: 7.72 μB/f.u.
Calculated density: 6.103 g/cm³
N(E_F): 3.6 states/eV/cell
Calculated total energy: -23.67 eV for the cell shown

Below is a relaxed GdTmMgBe crystal, with properties calculated at the PBE-GGA level.

```
GdTmMgBe
1.0
0.000 3.593 3.593
3.593 0.000 3.593
3.593 3.593 0.000
Gd Tm Mg Be
1 1 1 1
Cartesian
0.000 0.000 0.000
3.593 3.593 3.593
5.389 5.389 5.389
1.796 1.796 1.796
```

Properties
Size of the total moment: 7.64 μB/f.u.
Calculated density: 6.437 g/cm³
N(E_F): 3.2 states/eV/cell
Calculated total energy: -23.51 eV for the cell shown

Below is a relaxed GdYMgBe crystal, with properties calculated at the PBE-GGA level.

```
GdYMgBe
1.0
0.000 3.623 3.623
3.623 0.000 3.623
3.623 3.623 0.000
Gd Y Mg Be
1 1 1 1
Cartesian
0.000 0.000 0.000
3.623 3.623 3.623
5.435 5.435 5.435
1.812 1.812 1.812
```

Properties
Size of the total moment: 7.72 μB/f.u.
Calculated density: 4.878 g/cm³
N(E_F): 3.3 states/eV/cell
Calculated total energy: -25.55 eV for the cell shown

The records above yield formation enthalpy at 0 K values of 0.00; 0.09; 0.10; 0.09; 0.09; 0.08 eV per atom, respectively.